VASP calculation (GGA+U) on RbSrCrF6 after structural relaxation.

Cell lengths 7.5621, 7.5621, 7.5621 Å; angles 120.10, 115.51, 93.89 degrees
Last column: nearest neighbours and their distance in Å.
Sites, in units of the cell vectors:
Rb  0.3478  0.0978  0.2500  9 F 2.89-3.15
Rb  0.6522  0.9022  0.7500  9 F 2.89-3.15
Sr  0.0000  0.5000  0.5000  6 F 2.38-2.55
Sr  0.5000  0.5000  0.0000  6 F 2.38-2.55
Cr  0.0000  0.0000  0.5000  6 F 1.93-1.98
Cr  0.0000  0.5000  0.0000  6 F 1.93-1.98
F  0.0386  0.3375  0.1365  1 Cr 1.93
F  0.0386  0.9021  0.7011  1 Cr 1.93
F  0.0593  0.3093  0.7500  2 Cr 1.98
F  0.2990  0.0979  0.6365  1 Cr 1.93
F  0.2990  0.6625  0.2011  1 Cr 1.93
F  0.3724  0.6224  0.7500  2 Sr 2.38
F  0.6276  0.3776  0.2500  2 Sr 2.38
F  0.7010  0.3375  0.7989  1 Cr 1.93
F  0.7010  0.9021  0.3635  1 Cr 1.93
F  0.9407  0.6907  0.2500  2 Cr 1.98
F  0.9614  0.0979  0.2989  1 Cr 1.93
F  0.9614  0.6625  0.8635  1 Cr 1.93

Values from the calculation:
calculated volume	315	Å³/cell
symmetry	No. 74
electronic total energy	-100.095	eV for the cell shown
D(E_F)	0.0	states/eV/f.u.